# 1
Below is a geometry-optimized KInCu2 structure, with properties calculated at the PBE level.

Properties
Uncorrected energy: -2.838 eV per atom
E above lowest polymorph: 0.496 eV per formula unit
Spin magnetization: 0.000 μB/f.u.
Energy of formation: 0.1686 eV/atom

Cell: 3.307 3.307 8.099 Å, 90.00 90.00 90.00°
Fractional coordinates of all 4 atoms:
K  0.000  0.000  0.000
In  0.500  0.500  0.646
Cu  0.000  0.000  0.421
Cu  0.500  0.500  0.314

# 2
Below is a geometry-optimized Nd2GaSi4Pt3 structure, with properties calculated at the PBE level.

Properties
Uncorrected energy: -6.226 eV per atom
ΔE_f (raw): -0.988 eV/atom
Spin magnetization: 0.000 μB/f.u.

Cell: 4.266 4.266 9.973 Å, 90.00 90.00 90.00°
Fractional coordinates of all 10 atoms:
Nd  0.000  0.500  0.246
Nd  0.500  0.000  0.754
Ga  0.000  0.000  0.500
Si  0.000  0.000  0.000
Si  0.000  0.500  0.639
Si  0.500  0.000  0.361
Si  0.500  0.500  0.000
Pt  0.000  0.500  0.881
Pt  0.500  0.000  0.119
Pt  0.500  0.500  0.500